The following is a DFT calculation (GGA+U) of a relaxed Na4Tl3CoO8 crystal.

```
Na4Tl3CoO8
1.0
5.725 -3.376 0.000
5.725 3.376 0.000
-3.896 0.000 5.532
Na Tl Co O
4 3 1 8
Direct
0.000 0.000 0.000
0.000 0.500 0.000
0.500 0.000 0.000
0.500 0.500 0.000
0.000 0.000 0.500
0.000 0.500 0.500
0.500 0.000 0.500
0.500 0.500 0.500
0.246 0.246 0.729
0.247 0.735 0.720
0.265 0.753 0.280
0.296 0.296 0.297
0.704 0.704 0.703
0.735 0.247 0.720
0.753 0.265 0.280
0.754 0.754 0.271
```

Magnetic moment   3.9 μB/f.u.
Final energy   -4.638 eV per atom
Calculated volume   213.9 Å³/cell